This record from the Alexandria database describes a relaxed KCaV2 crystal. The functional is GGA-PBE.

```
4
Lattice="4.634 -1.520 2.638 0.364 0.551 5.505 -0.004 -4.498 3.242" Properties=species:S:1:pos:R:3 pbc="T T T"
K 0.000 0.000 0.000
V 1.248 -1.367 2.846
V 3.745 -4.100 8.539
Ca 2.497 -2.733 5.693
```

## Properties
Symmetry: Fm-3m
Formation energy from the elements: 1.35 eV per atom
Magnetic moment: 8.9 μB per formula unit
Relative energy among the computed polymorphs: 0.000 eV/atom
Total DFT energy (no corrections): -15.93 eV per formula unit